No. 1
# Al9CrB2O18 | Alexandria | PBEsol | optimized geometry
data_Al9CrB2O18
_chemical_formula_sum 'Al9 Cr1 B2 O18'
_symmetry_space_group_name_H-M 'P 1'
_symmetry_Int_Tables_number 1
_cell_length_a 5.745
_cell_length_b 7.726
_cell_length_c 8.057
_cell_angle_alpha 90.04
_cell_angle_beta 110.80
_cell_angle_gamma 90.12
loop_
_symmetry_equiv_pos_as_xyz
'x,y,z'
loop_
_atom_site_label
_atom_site_type_symbol
_atom_site_fract_x
_atom_site_fract_y
_atom_site_fract_z
_atom_site_occupancy
Al1 Al 0.000 0.000 0.000 1
Al2 Al 0.040 0.349 0.086 1
Al3 Al 0.108 0.181 0.720 1
Al4 Al 0.182 0.992 0.372 1
Al5 Al 0.293 0.495 0.602 1
Al6 Al 0.374 0.681 0.258 1
Al7 Al 0.444 0.848 0.894 1
Al8 Al 0.484 0.501 0.978 1
Al9 Al 0.876 0.681 0.256 1
Cr1 Cr 0.605 0.183 0.719 1
B1 B 0.727 0.956 0.457 1
B2 B 0.754 0.460 0.517 1
O1 O 0.076 0.816 0.154 1
O2 O 0.094 0.145 0.195 1
O3 O 0.192 0.983 0.871 1
O4 O 0.193 0.607 0.397 1
O5 O 0.275 0.106 0.576 1
O6 O 0.293 0.483 0.109 1
O7 O 0.385 0.646 0.783 1
O8 O 0.400 0.319 0.824 1
O9 O 0.484 0.894 0.394 1
O10 O 0.549 0.743 0.105 1
O11 O 0.574 0.399 0.581 1
O12 O 0.680 0.976 0.873 1
O13 O 0.694 0.588 0.393 1
O14 O 0.795 0.084 0.582 1
O15 O 0.806 0.482 0.105 1
O16 O 0.901 0.892 0.390 1
O17 O 0.943 0.245 0.875 1
O18 O 0.994 0.394 0.583 1
# crystal system: triclinic
# energy relative to the elements, uncorrected: -2865 meV per atom

=====

No. 2
# CsAlBP2HO9 | Alexandria | PBEsol | optimized geometry
data_CsAlBP2HO9
_chemical_formula_sum 'Cs4 Al4 B4 P8 H4 O36'
_symmetry_space_group_name_H-M 'P 1 21/c 1'
_symmetry_Int_Tables_number 14
_cell_length_a 9.320
_cell_length_b 8.703
_cell_length_c 9.502
_cell_angle_alpha 90.00
_cell_angle_beta 104.83
_cell_angle_gamma 90.00
loop_
_symmetry_equiv_pos_as_xyz
'x,y,z'
'-x,-y,-z'
'-x,y+1/2,-z+1/2'
'x,-y+1/2,z+1/2'
loop_
_atom_site_label
_atom_site_type_symbol
_atom_site_fract_x
_atom_site_fract_y
_atom_site_fract_z
_atom_site_occupancy
Cs1 Cs 0.192 0.117 0.059 1
Al1 Al 0.196 0.655 0.931 1
B1 B 0.342 0.036 0.702 1
P1 P 0.071 0.571 0.203 1
P2 P 0.411 0.728 0.722 1
H1 H 0.392 0.048 0.500 1
O1 O 0.075 0.514 0.806 1
O2 O 0.075 0.654 0.062 1
O3 O 0.096 0.678 0.334 1
O4 O 0.200 0.054 0.738 1
O5 O 0.308 0.024 0.540 1
O6 O 0.333 0.715 0.561 1
O7 O 0.339 0.633 0.820 1
O8 O 0.424 0.176 0.753 1
O9 O 0.427 0.599 0.271 1
# DFT total energy: -7.34 eV per atom
# crystal system: monoclinic

=====

No. 3
# Cs2Al2B2O7 | Alexandria | PBEsol | optimized geometry
data_Cs2Al2B2O7
_chemical_formula_sum 'Cs4 Al4 B4 O14'
_symmetry_space_group_name_H-M 'P 1 21/c 1'
_symmetry_Int_Tables_number 14
_cell_length_a 6.716
_cell_length_b 7.063
_cell_length_c 9.685
_cell_angle_alpha 90.00
_cell_angle_beta 114.78
_cell_angle_gamma 90.00
loop_
_symmetry_equiv_pos_as_xyz
'x,y,z'
'-x,-y,-z'
'-x,y+1/2,-z+1/2'
'x,-y+1/2,z+1/2'
loop_
_atom_site_label
_atom_site_type_symbol
_atom_site_fract_x
_atom_site_fract_y
_atom_site_fract_z
_atom_site_occupancy
Cs1 Cs 0.223 0.137 0.378 1
Al1 Al 0.238 0.623 0.537 1
B1 B 0.352 0.611 0.275 1
O1 O 0.000 0.000 0.000 1
O2 O 0.253 0.677 0.364 1
O3 O 0.257 0.651 0.121 1
O4 O 0.462 0.003 0.167 1
# crystal system: monoclinic
# energy relative to the elements, uncorrected: -2608 meV per atom

=====

Calculated values (μB/f.u.) of total moment for the records, taken in order: 3.00, 0.00, 0.00.